Record 1
The following is a PBE calculation of a geometry-optimized RbP2SCl structure, from Alexandria via LeMat-Bulk.

total energy = -2.18 eV/atom
formation energy from raw total energies = 1.376 eV/atom
offset from the most stable computed form = 1344.1 meV per atom
crystal system = tetragonal
size of the total moment = 3.9 μB per formula unit
space-group type = P4/mmm

Unit cell a=7.405 b=7.405 c=5.996 alpha=90.00 beta=90.00 gamma=90.00
Each line ends with the local moment (μB).
Atoms (fractional coordinates):
P: 0.000 0.500 0.000  1.20
P: 0.500 0.000 0.000  1.20
S: 0.500 0.500 0.500  -1.07
Cl: 0.000 0.000 0.500  -0.05
Rb: 0.000 0.000 0.000  0.02



Record 2
The following is a PBE calculation of a geometry-optimized CoTcOs2 structure, from Alexandria via LeMat-Bulk.

total energy = -9.85 eV/atom
ΔE_f = 137 meV per atom
offset from the most stable computed form = 36.2 meV per atom
crystal system = tetragonal
DOS at the Fermi energy = 4.5 states/eV/f.u.
size of the total moment = 0.3 μB per formula unit
space-group type = P4mm

Unit cell a=2.690 b=2.690 c=7.459 alpha=90.00 beta=90.00 gamma=90.00
Each line ends with the local moment (μB).
Atoms (fractional coordinates):
Os: 0.000 0.000 0.990  0.06
Os: 0.500 0.500 0.247  -0.03
Co: 0.500 0.500 0.751  0.27
Tc: 0.000 0.000 0.512  0.01



Which value of size of the total moment does entry 1 give? 3.9 μB per formula unit



What did the second record say?
The following is a PBE calculation of a geometry-optimized CoTcOs2 structure, from Alexandria via LeMat-Bulk.

total energy = -9.85 eV/atom
ΔE_f = 137 meV per atom
offset from the most stable computed form = 36.2 meV per atom
crystal system = tetragonal
DOS at the Fermi energy = 4.5 states/eV/f.u.
size of the total moment = 0.3 μB per formula unit
space-group type = P4mm

Unit cell a=2.690 b=2.690 c=7.459 alpha=90.00 beta=90.00 gamma=90.00
Each line ends with the local moment (μB).
Atoms (fractional coordinates):
Os: 0.000 0.000 0.990  0.06
Os: 0.500 0.500 0.247  -0.03
Co: 0.500 0.500 0.751  0.27
Tc: 0.000 0.000 0.512  0.01